1.
RbLiTe2: optimized geometry, PBE-GGA.

Cell: 7.952 7.952 7.952 Å, 34.42 34.42 34.42°
Last column: magnetic moment on the atom in μB.
Sites, in units of the cell vectors:
1 Te 0.779 0.779 0.779  0.51
2 Te 0.221 0.221 0.221  0.51
3 Rb 0.000 0.000 0.000  0.03
4 Li 0.500 0.500 0.500  0.00

SG	R-3m (166)
calculated total energy	-11.06	eV/cell
formation energy without anion corrections	-183	kJ/mol of formula units


2.
RbLiTe2: optimized geometry, PBE-GGA.

Cell: 9.879 9.829 6.540 Å, 90.00 90.00 90.00°
Sites, in units of the cell vectors:
1 Te 0.385 0.792 0.020
2 Te 0.615 0.208 0.520
3 Te 0.115 0.292 0.520
4 Te 0.885 0.708 0.020
5 Te 0.954 0.863 0.671
6 Te 0.046 0.137 0.171
7 Te 0.546 0.363 0.171
8 Te 0.454 0.637 0.671
9 Rb 0.187 0.472 0.030
10 Rb 0.813 0.528 0.530
11 Rb 0.313 0.972 0.530
12 Rb 0.687 0.028 0.030
13 Li 0.114 0.874 0.028
14 Li 0.886 0.126 0.528
15 Li 0.386 0.374 0.528
16 Li 0.614 0.626 0.028

SG	Pna2_1 (33)
calculated total energy	-48.18	eV/cell
formation energy without anion corrections	-278	kJ/mol of formula units


3.
RbLiTe2: optimized geometry, PBE-GGA.

Cell: 8.753 4.757 12.948 Å, 90.00 90.00 90.00°
Sites, in units of the cell vectors:
1 Te 0.900 0.250 0.452
2 Te 0.600 0.750 0.952
3 Te 0.100 0.750 0.548
4 Te 0.400 0.250 0.048
5 Te 0.320 0.250 0.666
6 Te 0.180 0.750 0.166
7 Te 0.680 0.750 0.334
8 Te 0.820 0.250 0.834
9 Rb 0.350 0.250 0.373
10 Rb 0.150 0.750 0.873
11 Rb 0.650 0.750 0.627
12 Rb 0.850 0.250 0.127
13 Li 0.005 0.250 0.665
14 Li 0.495 0.750 0.165
15 Li 0.995 0.750 0.335
16 Li 0.505 0.250 0.835

SG	Pnma (62)
calculated total energy	-48.69	eV/cell
formation energy without anion corrections	-290	kJ/mol of formula units


4.
RbLiTe2: optimized geometry, PBE-GGA.

Cell: 5.374 5.551 5.551 Å, 111.70 90.00 90.00°
Sites, in units of the cell vectors:
1 Rb 0.000 0.945 0.055
2 Li 0.500 0.445 0.555
3 Te 0.500 0.945 0.555
4 Te 0.500 0.445 0.055

SG	Cmmm (65)
calculated total energy	-12.19	eV/cell
formation energy without anion corrections	-292	kJ/mol of formula units


5.
RbLiTe2: optimized geometry, PBE-GGA.

Cell: 8.261 4.946 7.536 Å, 80.63 102.58 82.08°
Sites, in units of the cell vectors:
1 Te 0.997 0.550 0.464
2 Te 0.683 0.955 0.766
3 Te 0.411 0.821 0.919
4 Te 0.270 0.683 0.311
5 Rb 0.642 0.165 0.257
6 Rb 0.039 0.340 0.972
7 Li 0.506 0.506 0.665
8 Li 0.175 0.999 0.565

SG	P-1 (2)
calculated total energy	-24.63	eV/cell
formation energy without anion corrections	-304	kJ/mol of formula units


6.
RbLiTe3: optimized geometry, PBE-GGA.

Cell: 6.299 6.299 6.299 Å, 90.00 90.00 90.00°
Sites, in units of the cell vectors:
1 Te 0.000 0.500 0.000
2 Te 0.000 0.000 0.500
3 Te 0.500 0.000 0.000
4 Rb 0.000 0.000 0.000
5 Li 0.500 0.500 0.500

SG	Pm-3m (221)
calculated total energy	-9.45	eV/cell
formation energy without anion corrections	275	kJ/mol of formula units